(1)
First-principles (PBE) data for a relaxed MgBPb2C crystal, as listed in the Alexandria database.

SG	P4/mmm
uncorrected energy	-3.65	eV/atom
mass density	7427	kg/m³
formation enthalpy at 0 K	6.66	eV per formula unit

Lattice parameters (Å, degrees): 5.0188 5.0188 4.0968 90.00 90.00 90.00
Sites, in units of the cell vectors:
1 Mg 0.0000 0.0000 0.0000
2 B 0.5000 0.5000 0.0000
3 Pb 0.0000 0.5000 0.5000
4 Pb 0.5000 0.0000 0.5000
5 C 0.0000 0.0000 0.5000

=====

(2)
First-principles (PBE) data for a relaxed NdEuCuPd crystal, as listed in the Alexandria database.

SG	F-43m
uncorrected energy	-6.49	eV/atom
mass density	8188	kg/m³
formation enthalpy at 0 K	-1.61	eV per formula unit

Lattice parameters (Å, degrees): 5.1135 5.1135 5.1135 60.00 60.00 60.00
Sites, in units of the cell vectors:
1 Nd 0.0000 0.0000 0.0000
2 Eu 0.5000 0.5000 0.5000
3 Cu 0.7500 0.7500 0.7500
4 Pd 0.2500 0.2500 0.2500

=====

(3)
First-principles (PBE) data for a relaxed LiBeSi2 crystal, as listed in the Alexandria database.

SG	Pmmm
uncorrected energy	-3.96	eV/atom
mass density	2360	kg/m³

Lattice parameters (Å, degrees): 2.5897 3.5894 5.4602 90.00 90.00 90.00
Sites, in units of the cell vectors:
1 Li 0.0000 0.0000 0.0000
2 Be 0.0000 0.0000 0.5000
3 Si 0.5000 0.5000 0.2724
4 Si 0.5000 0.5000 0.7276